Computed, not measured: a relaxed TcTeRu2 crystal at the PBE-GGA level of DFT.

Cell: 3.877 4.044 4.044 Å, 90.00 90.00 90.00°
Each line ends with the local moment (μB).
Atoms (fractional coordinates):
Te  0.500  0.000  0.500  0.00
Ru  0.000  0.000  0.000  0.26
Ru  0.000  0.500  0.500  0.26
Tc  0.500  0.500  0.000  1.08

Computed properties:
For the density of states at the Fermi level, the calculation gives 5.3 states/eV per cell. The calculation puts the formation energy (no corrections) at 0.459 eV per atom. The space group is P4/mmm. As for the total magnetization: 1.73 μB/f.u.

Computed, not measured: a relaxed NdThGa4 crystal at the PBE-GGA level of DFT.

Cell: 4.270 4.270 8.011 Å, 105.45 105.45 90.00°
Atoms (fractional coordinates):
Ga  0.833  0.333  0.666
Ga  0.417  0.417  0.834
Ga  0.667  0.167  0.334
Ga  0.583  0.583  0.166
Nd  0.250  0.750  0.500
Th  0.000  0.000  0.000

Computed properties:
The formation energy is -666 meV per atom. For the density of states at the Fermi level, the calculation gives 1.9 states/eV per cell. The space group is I-4m2. As for the total magnetization: 0.00 μB/f.u. As for the energy above the lowest structure with this stoichiometry: 0 meV per atom.

Computed, not measured: a relaxed YLuZrIn crystal at the PBE-GGA level of DFT.

Cell: 5.300 5.300 5.300 Å, 60.00 60.00 60.00°
Each line ends with the local moment (μB).
Atoms (fractional coordinates):
Zr  0.500  0.500  0.500  1.13
Lu  0.750  0.750  0.750  0.36
In  0.000  0.000  0.000  -0.02
Y  0.250  0.250  0.250  0.30

Computed properties:
The formation energy is -76 meV per atom. For the density of states at the Fermi level, the calculation gives 2.7 states/eV per cell. The space group is F-43m. As for the total magnetization: 2.70 μB/f.u.

Computed, not measured: a relaxed U2CO crystal at the PBE-GGA level of DFT.

Cell: 3.506 3.506 5.918 Å, 72.77 72.77 60.00°
Each line ends with the local moment (μB).
Atoms (fractional coordinates):
U  0.249  0.249  0.252  1.34
U  0.751  0.751  0.748  1.34
O  0.500  0.500  0.500  -0.05
C  0.000  0.000  0.000  -0.08

Computed properties:
For the density of states at the Fermi level, the calculation gives 8.2 states/eV per cell. The calculation puts the formation energy (no corrections) at -1.306 eV per atom. The space group is R-3m. As for the total magnetization: 2.76 μB/f.u. As for the energy above the lowest structure with this stoichiometry: 0 meV per atom.

Computed, not measured: a relaxed Cu2HgPb2 crystal at the PBE-GGA level of DFT.

Cell: 7.180 7.180 4.222 Å, 90.00 90.00 90.00°
Atoms (fractional coordinates):
Pb  0.329  0.171  0.500
Pb  0.171  0.671  0.500
Pb  0.671  0.829  0.500
Pb  0.829  0.329  0.500
Cu  0.124  0.376  0.000
Cu  0.624  0.124  0.000
Cu  0.376  0.876  0.000
Cu  0.876  0.624  0.000
Hg  0.000  0.000  0.000
Hg  0.500  0.500  0.000

Computed properties:
The formation energy is 163 meV per atom. For the density of states at the Fermi level, the calculation gives 3.8 states/eV per cell. The space group is P4/mbm. As for the total magnetization: 0.00 μB/f.u. As for the energy above the lowest structure with this stoichiometry: 0 meV per atom.

Computed, not measured: a relaxed LiNi2P crystal at the PBE-GGA level of DFT.

Cell: 2.651 3.566 4.666 Å, 90.00 90.00 90.00°
Atoms (fractional coordinates):
P  0.000  0.000  0.473
Ni  0.000  0.000  0.988
Ni  0.500  0.500  0.274
Li  0.500  0.500  0.764

Computed properties:
The formation energy is -292 meV per atom. For the density of states at the Fermi level, the calculation gives 1.8 states/eV per cell. The space group is Pmm2. As for the total magnetization: 0.00 μB/f.u.